1.
## BeNbRu (GGA-PBE)

Data for a geometry-optimized BeNbRu structure.

Lattice parameters (Å, degrees): 3.1668 6.5916 11.4049 90.00 90.00 90.00
Closest atoms and distances in Å follow each position.
Atoms (fractional coordinates):
1 Ru 0.5000 0.5767 0.6212  3 Be 2.32-2.47
2 Ru 0.5000 0.8054 0.2500  4 Be 2.31-2.45
3 Ru 0.5000 0.5767 0.8788  3 Be 2.32-2.47
4 Ru 0.5000 0.1946 0.7500  4 Be 2.31-2.45
5 Ru 0.5000 0.4233 0.3788  3 Be 2.32-2.47
6 Ru 0.5000 0.4233 0.1212  3 Be 2.32-2.47
7 Be 0.0000 0.4499 0.7500  6 Ru 2.31-2.32
8 Be 0.5000 0.0529 0.4107  1 Be 2.15
9 Be 0.5000 0.9471 0.5893  1 Be 2.15
10 Be 0.5000 0.9471 0.9107  1 Be 2.15
11 Be 0.5000 0.0529 0.0893  1 Be 2.15
12 Be 0.0000 0.5501 0.2500  6 Ru 2.31-2.32
13 Nb 0.0000 0.2418 0.5465  5 Be 2.54-2.70, 4 Ru 2.76-2.83
14 Nb 0.0000 0.8493 0.7500  5 Be 2.51-2.63, 2 Ru 2.77
15 Nb 0.0000 0.2418 0.9535  5 Be 2.54-2.70, 4 Ru 2.76-2.83
16 Nb 0.0000 0.1507 0.2500  5 Be 2.51-2.63, 2 Ru 2.77
17 Nb 0.0000 0.7582 0.4535  5 Be 2.54-2.70, 4 Ru 2.76-2.83
18 Nb 0.0000 0.7582 0.0465  5 Be 2.54-2.70, 4 Ru 2.76-2.83

Values from the calculation:
**Offset from the most stable computed form**: 0 meV/atom
**DFT formation energy**: -41.1 kJ/mol of atoms
**Crystal system**: orthorhombic



2.
## PrHo4Al (GGA-PBE)

Data for a geometry-optimized PrHo4Al structure.

Lattice parameters (Å, degrees): 6.2015 8.9657 8.2089 113.98 100.12 111.71
Closest atoms and distances in Å follow each position.
Atoms (fractional coordinates):
1 Ho 0.3706 0.9193 0.6359  2 Al 3.07-3.09, 1 Ho 3.30
2 Ho 0.0363 0.1656 0.7760  2 Al 3.18-3.19, 3 Ho 3.30-3.56, 2 Pr 3.46-3.53
3 Ho 0.6294 0.0807 0.3641  2 Al 3.07-3.09, 1 Ho 3.30
4 Ho 0.7653 0.7166 0.6359  2 Al 3.07-3.09, 1 Ho 3.30
5 Ho 0.2397 0.6104 0.7760  2 Al 3.18-3.19, 3 Ho 3.30-3.56, 2 Pr 3.46-3.53
6 Ho 0.9637 0.8344 0.2240  2 Al 3.18-3.19, 3 Ho 3.30-3.56, 2 Pr 3.46-3.53
7 Ho 0.2347 0.2834 0.3641  2 Al 3.07-3.09, 1 Ho 3.30
8 Ho 0.7603 0.3896 0.2240  2 Al 3.18-3.19, 3 Ho 3.30-3.56, 2 Pr 3.46-3.53
9 Pr 0.6514 0.4014 0.8027  10 Ho 3.46-3.71
10 Pr 0.3486 0.5986 0.1973  10 Ho 3.46-3.71
11 Al 0.2493 0.9993 0.9986  8 Ho 3.07-3.19, 2 Al 3.10
12 Al 0.7507 0.0007 0.0014  8 Ho 3.07-3.19, 2 Al 3.10

Values from the calculation:
**Offset from the most stable computed form**: 73 meV/atom
**DFT formation energy**: -4.1 kJ/mol of atoms
**Crystal system**: monoclinic



3.
## KTa2 (GGA-PBE)

Data for a geometry-optimized KTa2 structure.

Lattice parameters (Å, degrees): 9.1169 9.1169 9.1169 162.04 162.04 25.51
Closest atoms and distances in Å follow each position.
Atoms (fractional coordinates):
1 Ta 0.1883 0.1883 0.0000  8 Ta 2.85-2.98
2 Ta 0.8117 0.8117 0.0000  8 Ta 2.85-2.98
3 K 0.5000 0.5000 0.0000  4 K 2.85

Values from the calculation:
**Offset from the most stable computed form**: 352 meV/atom
**DFT formation energy**: 86.9 kJ/mol of atoms
**Crystal system**: tetragonal



4.
## Na2CuRh (GGA-PBE)

Data for a geometry-optimized Na2CuRh structure.

Lattice parameters (Å, degrees): 4.6612 4.6612 4.6612 60.00 60.00 60.00
Closest atoms and distances in Å follow each position.
Atoms (fractional coordinates):
1 Na 0.7500 0.7500 0.7500  4 Cu 2.85, 4 Rh 2.85
2 Na 0.2500 0.2500 0.2500  4 Cu 2.85, 4 Rh 2.85
3 Cu 0.0000 0.0000 0.0000  8 Na 2.85
4 Rh 0.5000 0.5000 0.5000  8 Na 2.85

Values from the calculation:
**Offset from the most stable computed form**: 0 meV/atom
**DFT formation energy**: 53.1 kJ/mol of atoms
**Crystal system**: cubic



5.
## Ac3Ir2Br (GGA-PBE)

Data for a geometry-optimized Ac3Ir2Br structure.

Lattice parameters (Å, degrees): 4.1118 9.0715 14.1193 97.58 54.39 103.10
Closest atoms and distances in Å follow each position.
Atoms (fractional coordinates):
1 Ir 0.4684 0.9368 0.7500  6 Ac 2.92-3.10, 2 Ir 2.92
2 Ir 0.5316 0.0632 0.2500  6 Ac 2.92-3.10, 2 Ir 2.92
3 Ir 0.0000 0.0000 0.5000  2 Ir 2.92, 4 Ac 2.94
4 Ir 0.0000 0.0000 0.0000  2 Ir 2.92, 4 Ac 2.94
5 Ac 0.4391 0.2112 0.0833  4 Ir 2.94-3.10
6 Ac 0.9146 0.8292 0.2500  2 Ir 2.92
7 Ac 0.2279 0.7888 0.5833  4 Ir 2.94-3.10
8 Ac 0.7721 0.2112 0.4167  4 Ir 2.94-3.10
9 Ac 0.0854 0.1708 0.7500  2 Ir 2.92
10 Ac 0.5609 0.7888 0.9167  4 Ir 2.94-3.10
11 Br 0.7348 0.4696 0.7500  4 Ac 3.35-3.41
12 Br 0.2652 0.5304 0.2500  4 Ac 3.35-3.41

Values from the calculation:
**E_form (uncorrected)**: -0.80 eV per atom
**Crystal system**: orthorhombic



In order of appearance, volume = 13.2, 29.8, 24.0, 17.9, 34.8 A^3/atom.